Arrangement one

TlAg3Pd4: optimized geometry, PBE-GGA.

Computed properties:
calculated density: 11.54 g cm⁻³
space group: Pmma

Cell lengths 9.397, 6.118, 4.776 Å; angles 90.00, 90.00, 90.00 degrees
Atoms (fractional coordinates):
Tl  0.000  0.000  0.000
Tl  0.500  0.000  0.000
Ag  0.000  0.500  0.000
Ag  0.250  0.000  0.419
Ag  0.250  0.500  0.408
Ag  0.500  0.500  0.000
Ag  0.750  0.000  0.581
Ag  0.750  0.500  0.592
Pd  0.000  0.253  0.500
Pd  0.000  0.747  0.500
Pd  0.250  0.252  0.907
Pd  0.250  0.748  0.907
Pd  0.500  0.253  0.500
Pd  0.500  0.747  0.500
Pd  0.750  0.252  0.093
Pd  0.750  0.748  0.093

Arrangement two

TlAg3Pd4: optimized geometry, PBE-GGA.

Computed properties:
calculated density: 11.04 g cm⁻³
space group: Imm2

Cell lengths 6.121, 6.121, 6.121 Å; angles 125.83, 79.12, 127.11 degrees
Atoms (fractional coordinates):
Tl  0.000  0.000  0.000
Ag  0.460  0.707  0.753
Ag  0.953  0.707  0.247
Ag  0.968  0.468  0.500
Pd  0.464  0.206  0.258
Pd  0.474  0.222  0.747
Pd  0.474  0.727  0.253
Pd  0.948  0.206  0.742

Of them, arrangement one has the highest stability.

Arrangement one

TmAgPd2: optimized geometry, PBE-GGA.

Computed properties:
calculated density: 11.09 g cm⁻³
space group: Fm-3m

Cell lengths 4.698, 4.698, 4.698 Å; angles 60.00, 60.00, 60.00 degrees
Atoms (fractional coordinates):
Tm  0.000  0.000  0.000
Ag  0.500  0.500  0.500
Pd  0.250  0.250  0.250
Pd  0.750  0.750  0.750

Arrangement two

TmAgPd2: optimized geometry, PBE-GGA.

Computed properties:
calculated density: 11.39 g cm⁻³
space group: P4/mmm

Cell lengths 4.281, 4.281, 3.895 Å; angles 90.00, 90.00, 90.00 degrees
Atoms (fractional coordinates):
Tm  0.000  0.000  0.000
Ag  0.500  0.500  0.000
Pd  0.000  0.500  0.500
Pd  0.500  0.000  0.500

Of them, arrangement two has the highest stability.

Arrangement one

Tm6AgPd5: optimized geometry, PBE-GGA.

Computed properties:
calculated density: 10.82 g cm⁻³
space group: P2/m

Cell lengths 4.922, 7.010, 7.747 Å; angles 90.00, 108.32, 90.00 degrees
Atoms (fractional coordinates):
Tm  0.000  0.244  0.000
Tm  0.000  0.756  0.000
Tm  0.331  0.248  0.662
Tm  0.331  0.752  0.662
Tm  0.669  0.248  0.338
Tm  0.669  0.752  0.338
Ag  0.500  0.500  0.000
Pd  0.165  0.500  0.329
Pd  0.167  0.000  0.334
Pd  0.500  0.000  0.000
Pd  0.833  0.000  0.666
Pd  0.835  0.500  0.671

Arrangement two

Tm6AgPd5: optimized geometry, PBE-GGA.

Computed properties:
calculated density: 9.87 g cm⁻³
space group: C2/m

Cell lengths 6.656, 6.656, 7.086 Å; angles 97.65, 97.65, 113.97 degrees
Atoms (fractional coordinates):
Tm  0.042  0.397  0.718
Tm  0.200  0.200  0.207
Tm  0.397  0.042  0.718
Tm  0.603  0.958  0.282
Tm  0.800  0.800  0.793
Tm  0.958  0.603  0.282
Ag  0.500  0.500  0.000
Pd  0.000  0.000  0.500
Pd  0.203  0.797  0.000
Pd  0.372  0.628  0.500
Pd  0.628  0.372  0.500
Pd  0.797  0.203  0.000

Of them, arrangement one has the highest stability.

Arrangement one

TmAg2Pd8: optimized geometry, PBE-GGA.

Computed properties:
calculated density: 11.32 g cm⁻³
space group: C2/m

Cell lengths 7.533, 7.533, 6.388 Å; angles 104.85, 104.85, 31.26 degrees
Atoms (fractional coordinates):
Tm  0.000  0.000  0.000
Ag  0.272  0.272  0.362
Ag  0.728  0.728  0.638
Pd  0.090  0.090  0.458
Pd  0.182  0.182  0.909
Pd  0.364  0.364  0.818
Pd  0.454  0.454  0.276
Pd  0.546  0.546  0.724
Pd  0.636  0.636  0.182
Pd  0.818  0.818  0.091
Pd  0.910  0.910  0.542

Arrangement two

TmAg2Pd8: optimized geometry, PBE-GGA.

Computed properties:
calculated density: 10.62 g cm⁻³
space group: Cmmm

Cell lengths 6.789, 6.789, 4.356 Å; angles 90.00, 90.00, 105.64 degrees
Atoms (fractional coordinates):
Tm  0.000  0.000  0.000
Ag  0.378  0.622  0.500
Ag  0.622  0.378  0.500
Pd  0.036  0.304  0.500
Pd  0.246  0.754  0.000
Pd  0.304  0.036  0.500
Pd  0.332  0.332  0.000
Pd  0.668  0.668  0.000
Pd  0.696  0.964  0.500
Pd  0.754  0.246  0.000
Pd  0.964  0.696  0.500

Of them, arrangement one has the highest stability.

Arrangement one

Tm3AgPd2: optimized geometry, PBE-GGA.

Computed properties:
calculated density: 10.66 g cm⁻³
space group: P-3m1

Cell lengths 4.951, 4.951, 12.143 Å; angles 90.00, 90.00, 120.00 degrees
Atoms (fractional coordinates):
Tm  0.000  0.000  0.243
Tm  0.000  0.000  0.757
Tm  0.333  0.667  0.417
Tm  0.333  0.667  0.922
Tm  0.667  0.333  0.078
Tm  0.667  0.333  0.583
Ag  0.333  0.667  0.669
Ag  0.667  0.333  0.331
Pd  0.000  0.000  0.000
Pd  0.000  0.000  0.500
Pd  0.333  0.667  0.170
Pd  0.667  0.333  0.830

Arrangement two

Tm3AgPd2: optimized geometry, PBE-GGA.

Computed properties:
calculated density: 10.63 g cm⁻³
space group: P4/mmm

Cell lengths 3.509, 3.509, 10.500 Å; angles 90.00, 90.00, 90.00 degrees
Atoms (fractional coordinates):
Tm  0.000  0.000  0.000
Tm  0.000  0.000  0.323
Tm  0.000  0.000  0.677
Ag  0.500  0.500  0.500
Pd  0.500  0.500  0.163
Pd  0.500  0.500  0.837

Of them, arrangement two has the highest stability.

Arrangement one

TmAgPd6: optimized geometry, PBE-GGA.

Computed properties:
calculated density: 9.66 g cm⁻³
space group: R-3m

Cell lengths 5.420, 5.420, 5.420 Å; angles 84.62, 84.62, 84.62 degrees
Atoms (fractional coordinates):
Tm  0.000  0.000  0.000
Ag  0.500  0.500  0.500
Pd  0.160  0.160  0.533
Pd  0.160  0.533  0.160
Pd  0.467  0.840  0.840
Pd  0.533  0.160  0.160
Pd  0.840  0.467  0.840
Pd  0.840  0.840  0.467

Arrangement two

TmAgPd6: optimized geometry, PBE-GGA.

Computed properties:
calculated density: 11.43 g cm⁻³
space group: P4/mmm

Cell lengths 4.041, 4.041, 8.145 Å; angles 90.00, 90.00, 90.00 degrees
Atoms (fractional coordinates):
Tm  0.000  0.000  0.000
Ag  0.000  0.000  0.500
Pd  0.000  0.500  0.253
Pd  0.000  0.500  0.747
Pd  0.500  0.000  0.253
Pd  0.500  0.000  0.747
Pd  0.500  0.500  0.000
Pd  0.500  0.500  0.500

Of them, arrangement two has the highest stability.

Arrangement one

TmAg2Pd5: optimized geometry, PBE-GGA.

Computed properties:
calculated density: 11.26 g cm⁻³
space group: I4/mmm

Cell lengths 8.547, 8.547, 8.547 Å; angles 152.24, 152.24, 39.67 degrees
Atoms (fractional coordinates):
Tm  0.000  0.000  0.000
Ag  0.251  0.251  0.000
Ag  0.749  0.749  0.000
Pd  0.125  0.625  0.500
Pd  0.375  0.875  0.500
Pd  0.500  0.500  0.000
Pd  0.625  0.125  0.500
Pd  0.875  0.375  0.500

Arrangement two

TmAg2Pd5: optimized geometry, PBE-GGA.

Computed properties:
calculated density: 10.83 g cm⁻³
space group: I4/mcm

Cell lengths 7.490, 7.490, 7.490 Å; angles 123.27, 123.27, 84.43 degrees
Atoms (fractional coordinates):
Tm  0.250  0.250  0.000
Tm  0.750  0.750  0.000
Ag  0.148  0.648  0.796
Ag  0.352  0.148  0.500
Ag  0.648  0.852  0.500
Ag  0.852  0.352  0.204
Pd  0.000  0.000  0.000
Pd  0.020  0.811  0.500
Pd  0.189  0.689  0.209
Pd  0.311  0.520  0.500
Pd  0.480  0.980  0.791
Pd  0.500  0.500  0.000
Pd  0.520  0.020  0.209
Pd  0.689  0.480  0.500
Pd  0.811  0.311  0.791
Pd  0.980  0.189  0.500

Of them, arrangement one has the highest stability.

Arrangement one

YTmAgPd: optimized geometry, PBE-GGA.

Computed properties:
calculated density: 8.72 g cm⁻³
space group: P4mm

Cell lengths 3.540, 3.540, 7.173 Å; angles 90.00, 90.00, 90.00 degrees
Atoms (fractional coordinates):
Y  0.000  0.000  0.000
Tm  0.000  0.000  0.520
Ag  0.500  0.500  0.268
Pd  0.500  0.500  0.749

Arrangement two

YTmAgPd: optimized geometry, PBE-GGA.

Computed properties:
calculated density: 8.75 g cm⁻³
space group: F-43m

Cell lengths 5.022, 5.022, 5.022 Å; angles 60.00, 60.00, 60.00 degrees
Atoms (fractional coordinates):
Y  0.000  0.000  0.000
Tm  0.500  0.500  0.500
Ag  0.250  0.250  0.250
Pd  0.750  0.750  0.750

Of them, arrangement one has the highest stability.

Arrangement one

UAgPd2: optimized geometry, PBE-GGA.

Computed properties:
calculated density: 12.93 g cm⁻³
space group: R-3m

Cell lengths 9.762, 9.762, 9.762 Å; angles 17.30, 17.30, 17.30 degrees
Atoms (fractional coordinates):
U  0.000  0.000  0.000
Ag  0.500  0.500  0.500
Pd  0.248  0.248  0.248
Pd  0.752  0.752  0.752

Arrangement two

UAgPd2: optimized geometry, PBE-GGA.

Computed properties:
calculated density: 12.56 g cm⁻³
space group: P4/mmm

Cell lengths 3.263, 3.263, 6.937 Å; angles 90.00, 90.00, 90.00 degrees
Atoms (fractional coordinates):
U  0.000  0.000  0.000
Ag  0.000  0.000  0.500
Pd  0.500  0.500  0.259
Pd  0.500  0.500  0.741

Of them, arrangement two has the highest stability.

Arrangement one

VAgPd2: optimized geometry, PBE-GGA.

Computed properties:
calculated density: 9.99 g cm⁻³
space group: R-3m

Cell lengths 9.216, 9.216, 9.216 Å; angles 17.50, 17.50, 17.50 degrees
Atoms (fractional coordinates):
V  0.000  0.000  0.000
Ag  0.500  0.500  0.500
Pd  0.256  0.256  0.256
Pd  0.744  0.744  0.744

Arrangement two

VAgPd2: optimized geometry, PBE-GGA.

Computed properties:
calculated density: 9.00 g cm⁻³
space group: I-42d

Cell lengths 5.696, 5.696, 5.696 Å; angles 103.58, 103.58, 122.03 degrees
Atoms (fractional coordinates):
V  0.000  0.000  0.000
V  0.750  0.250  0.500
Ag  0.250  0.750  0.500
Ag  0.500  0.500  0.000
Pd  0.094  0.625  0.969
Pd  0.375  0.344  0.469
Pd  0.656  0.125  0.031
Pd  0.875  0.906  0.531

Arrangement three

VAgPd2: optimized geometry, PBE-GGA.

Computed properties:
calculated density: 10.01 g cm⁻³
space group: P4/mmm

Cell lengths 2.817, 2.817, 7.768 Å; angles 90.00, 90.00, 90.00 degrees
Atoms (fractional coordinates):
V  0.000  0.000  0.000
Ag  0.000  0.000  0.500
Pd  0.500  0.500  0.227
Pd  0.500  0.500  0.773

Of them, arrangement three has the highest stability.

Arrangement one

VAgPd2: optimized geometry, PBE-GGA.

Computed properties:
calculated density: 9.97 g cm⁻³
space group: R3m

Cell lengths 9.236, 9.236, 9.236 Å; angles 17.45, 17.45, 17.45 degrees
Atoms (fractional coordinates):
V  0.000  0.000  0.000
Ag  0.167  0.167  0.167
Pd  0.410  0.410  0.410
Pd  0.590  0.590  0.590

Arrangement two

VAgPd2: optimized geometry, PBE-GGA.

Computed properties:
calculated density: 9.80 g cm⁻³
space group: Fm-3m

Cell lengths 4.466, 4.466, 4.466 Å; angles 60.00, 60.00, 60.00 degrees
Atoms (fractional coordinates):
V  0.000  0.000  0.000
Ag  0.500  0.500  0.500
Pd  0.250  0.250  0.250
Pd  0.750  0.750  0.750

Arrangement three

VAgPd2: optimized geometry, PBE-GGA.

Computed properties:
calculated density: 9.88 g cm⁻³
space group: P4/mmm

Cell lengths 4.041, 4.041, 3.826 Å; angles 90.00, 90.00, 90.00 degrees
Atoms (fractional coordinates):
V  0.000  0.000  0.000
Ag  0.500  0.500  0.000
Pd  0.000  0.500  0.500
Pd  0.500  0.000  0.500

Of them, arrangement one has the highest stability.